Density functional theory data (meta-GGA SCAN) for a crystal of ZnPb2N relaxed with PBEsol. Values from VASP.

* SG: No. 225
* raw total energy: -42.553 eV per atom
* density of states at the Fermi level: 2.514 states/eV/cell

```
&SYSTEM
  ibrav = 0, nat = 4, ntyp = 3
/
ATOMIC_SPECIES
N 14.01 N.upf
Pb 207.20 Pb.upf
Zn 65.41 Zn.upf
CELL_PARAMETERS angstrom
-2.3546 0.6546 -4.1232
-0.9883 -3.7500 -2.8168
-4.5184 -1.5348 -0.4493
ATOMIC_POSITIONS crystal
N 0.0000 0.0000 0.0000
Pb 0.7500 0.7500 0.7500
Pb 0.2500 0.2500 0.2500
Zn 0.5000 0.5000 0.5000
```

=====

Density functional theory data (meta-GGA SCAN) for a crystal of PdN relaxed with PBEsol. Values from VASP.

* SG: No. 225
* raw total energy: -20.035 eV per atom
* density of states at the Fermi level: 1.337 states/eV/cell

```
&SYSTEM
  ibrav = 0, nat = 2, ntyp = 2
/
ATOMIC_SPECIES
Pd 106.42 Pd.upf
N 14.01 N.upf
CELL_PARAMETERS angstrom
-0.6502 1.8103 2.4108
-2.8554 1.1041 0.3736
-1.7755 -1.0586 2.2889
ATOMIC_POSITIONS crystal
Pd 0.0000 0.0000 0.0000
N 0.5000 0.5000 0.5000
```

=====

Density functional theory data (meta-GGA SCAN) for a crystal of PdPtN3 relaxed with PBEsol. Values from VASP.

* SG: No. 221
* raw total energy: -23.823 eV per atom
* density of states at the Fermi level: 4.403 states/eV/cell

```
&SYSTEM
  ibrav = 0, nat = 5, ntyp = 3
/
ATOMIC_SPECIES
N 14.01 N.upf
Pt 195.08 Pt.upf
Pd 106.42 Pd.upf
CELL_PARAMETERS angstrom
-2.9455 2.4104 -0.5882
-1.5819 -2.5277 -2.4372
-1.9115 -1.6224 2.9233
ATOMIC_POSITIONS crystal
N 0.0000 0.5000 0.0000
N 0.0000 0.0000 0.5000
N 0.5000 0.0000 0.0000
Pt 0.5000 0.5000 0.5000
Pd 0.0000 0.0000 0.0000
```

=====

Looking at total magnetization for the records above, in order, we have 0.00; 0.00; 0.65 μB/atom.